Entry 1:
VASP calculation (PBE-GGA) on an optimized crystal structure of Cr2CdRu2.

size of the total moment: 0.00 Bohr magnetons per cell
crystal system: tetragonal
DFT formation energy: 0.247 eV/atom
E above lowest polymorph: 9 meV per atom

The structure in POSCAR format:
```
Cr2CdRu2
1.0
7.334 0.000 0.000
0.000 7.334 0.000
0.000 0.000 2.725
Cr Cd Ru
4 2 4
direct
0.159 0.341 0.000
0.341 0.841 0.000
0.659 0.159 0.000
0.841 0.659 0.000
0.000 0.000 0.500
0.500 0.500 0.500
0.131 0.631 0.500
0.369 0.131 0.500
0.631 0.869 0.500
0.869 0.369 0.500
```

***

Entry 2:
VASP calculation (PBE-GGA) on an optimized crystal structure of CrCd4Ru.

size of the total moment: 2.65 Bohr magnetons per cell
crystal system: cubic
DFT formation energy: 0.569 eV/atom

The structure in POSCAR format:
```
CrCd4Ru
1.0
0.000 3.884 3.884
3.884 0.000 3.884
3.884 3.884 0.000
Cr Cd Ru
1 4 1
direct
0.000 0.000 0.000
0.375 0.375 0.375
0.375 0.375 0.874
0.375 0.874 0.375
0.874 0.375 0.375
0.750 0.750 0.750
```

***

Entry 3:
VASP calculation (PBE-GGA) on an optimized crystal structure of CrCdRu2.

size of the total moment: 2.12 Bohr magnetons per cell
crystal system: monoclinic
DFT formation energy: 0.382 eV/atom

The structure in POSCAR format:
```
CrCdRu2
1.0
4.630 -1.426 0.000
4.630 1.426 0.000
-1.019 0.000 4.669
Cr Cd Ru
1 1 2
direct
0.000 0.000 0.000
0.765 0.765 0.275
0.265 0.265 0.772
0.527 0.527 0.575
```

***

Entry 4:
VASP calculation (PBE-GGA) on an optimized crystal structure of CrCdRu2.

size of the total moment: 1.01 Bohr magnetons per cell
crystal system: monoclinic
DFT formation energy: 0.365 eV/atom

The structure in POSCAR format:
```
CrCdRu2
1.0
2.805 0.000 0.000
0.000 3.947 0.000
-1.185 0.000 5.493
Cr Cd Ru
1 1 2
direct
0.000 0.000 0.000
0.000 0.000 0.500
0.383 0.500 0.215
0.617 0.500 0.785
```

***

Entry 5:
VASP calculation (PBE-GGA) on an optimized crystal structure of CrCdRu2.

size of the total moment: 2.04 Bohr magnetons per cell
crystal system: orthorhombic
DFT formation energy: 0.531 eV/atom

The structure in POSCAR format:
```
CrCdRu2
1.0
3.004 0.000 0.000
0.000 4.480 0.000
0.000 0.000 4.626
Cr Cd Ru
1 1 2
direct
0.000 0.000 0.000
0.500 0.000 0.500
0.000 0.500 0.500
0.500 0.500 0.000
```

***

Entry 6:
VASP calculation (PBE-GGA) on an optimized crystal structure of CrCdS3.

size of the total moment: 0.00 Bohr magnetons per cell
E_form (uncorrected): 0.077 eV/atom
crystal system: cubic
E above lowest polymorph: 0 meV per atom

The structure in POSCAR format:
```
CrCdS3
1.0
4.533 0.000 0.000
0.000 4.533 0.000
0.000 0.000 4.533
Cr Cd S
1 1 3
direct
0.000 0.000 0.000
0.500 0.500 0.500
0.000 0.000 0.500
0.000 0.500 0.000
0.500 0.000 0.000
```

***

Entry 7:
VASP calculation (PBE-GGA) on an optimized crystal structure of Cr3CdS.

size of the total moment: 13.09 Bohr magnetons per cell
E_form (uncorrected): 1.585 eV/atom
crystal system: cubic
E above lowest polymorph: 1188 meV per atom

The structure in POSCAR format:
```
Cr3CdS
1.0
5.060 0.000 0.000
0.000 5.060 0.000
0.000 0.000 5.060
Cr Cd S
3 1 1
direct
0.000 0.000 0.500
0.000 0.500 0.000
0.500 0.000 0.000
0.000 0.000 0.000
0.500 0.500 0.500
```

***

Entry 8:
VASP calculation (PBE-GGA) on an optimized crystal structure of Cr3CdS.

size of the total moment: 0.00 Bohr magnetons per cell
E_form (uncorrected): 0.397 eV/atom
crystal system: cubic
E above lowest polymorph: 0 meV per atom

The structure in POSCAR format:
```
Cr3CdS
1.0
4.202 0.000 0.000
0.000 4.202 0.000
0.000 0.000 4.202
Cr Cd S
3 1 1
direct
0.000 0.000 0.500
0.000 0.500 0.000
0.500 0.000 0.000
0.500 0.500 0.500
0.000 0.000 0.000
```

***

Entry 9:
VASP calculation (PBE-GGA) on an optimized crystal structure of Cr4CdS8.

size of the total moment: 10.00 Bohr magnetons per cell
E_form (uncorrected): -0.611 eV/atom
crystal system: monoclinic

The structure in POSCAR format:
```
Cr4CdS8
1.0
5.924 -3.412 0.000
5.924 3.412 0.000
-5.694 0.000 6.334
Cr Cd S
4 1 8
direct
0.226 0.774 0.000
0.234 0.234 0.979
0.766 0.766 0.021
0.774 0.226 0.000
0.500 0.500 0.500
0.023 0.513 0.211
0.029 0.029 0.230
0.487 0.977 0.789
0.495 0.495 0.814
0.505 0.505 0.186
0.513 0.023 0.211
0.971 0.971 0.770
0.977 0.487 0.789
```

***

Entry 10:
VASP calculation (PBE-GGA) on an optimized crystal structure of CrCd2S.

size of the total moment: 8.01 Bohr magnetons per cell
E_form (uncorrected): 0.160 eV/atom
crystal system: tetragonal

The structure in POSCAR format:
```
CrCd2S
1.0
-4.127 4.127 2.558
4.127 -4.127 2.558
4.127 4.127 -2.558
Cr Cd S
2 4 2
direct
0.000 0.000 0.000
0.750 0.250 0.500
0.178 0.625 0.053
0.375 0.428 0.553
0.572 0.125 0.947
0.875 0.822 0.447
0.250 0.750 0.500
0.500 0.500 0.000
```

***

Entry 11:
VASP calculation (PBE-GGA) on an optimized crystal structure of Cr2CdSeS3.

size of the total moment: 12.00 Bohr magnetons per cell
E_form (uncorrected): -0.658 eV/atom
crystal system: orthorhombic

The structure in POSCAR format:
```
Cr2CdSeS3
1.0
-3.682 3.703 5.226
3.682 -3.703 5.226
3.682 3.703 -5.226
Cr Cd Se S
4 2 2 6
direct
0.243 0.000 0.243
0.246 0.494 0.249
0.246 0.997 0.751
0.757 0.000 0.757
0.646 0.646 0.000
0.870 0.370 0.500
0.488 0.213 0.725
0.488 0.763 0.275
0.013 0.234 0.220
0.013 0.793 0.780
0.016 0.231 0.785
0.057 0.770 0.288
0.446 0.231 0.215
0.482 0.770 0.712
```

***

Entry 12:
VASP calculation (PBE-GGA) on an optimized crystal structure of Cr2CdSe3S.

size of the total moment: 12.00 Bohr magnetons per cell
E_form (uncorrected): -0.590 eV/atom
crystal system: orthorhombic

The structure in POSCAR format:
```
Cr2CdSe3S
1.0
-3.783 3.798 5.365
3.783 -3.798 5.365
3.783 3.798 -5.365
Cr Cd Se S
4 2 6 2
direct
0.249 0.000 0.249
0.751 0.000 0.751
0.755 0.513 0.758
0.755 0.997 0.242
0.148 0.648 0.500
0.374 0.374 0.000
0.517 0.239 0.722
0.517 0.796 0.278
0.520 0.236 0.284
0.952 0.236 0.716
0.992 0.217 0.224
0.992 0.768 0.776
0.561 0.774 0.787
0.987 0.774 0.213
```

***

Entry 13:
VASP calculation (PBE-GGA) on an optimized crystal structure of TaCr2Cd2S6.

size of the total moment: 5.68 Bohr magnetons per cell
E_form (uncorrected): -0.612 eV/atom
crystal system: monoclinic

The structure in POSCAR format:
```
TaCr2Cd2S6
1.0
2.949 -5.156 0.000
2.949 5.156 0.000
-2.070 0.000 8.450
Ta Cr Cd S
1 2 2 6
direct
0.000 0.000 0.000
0.335 0.665 0.000
0.665 0.335 0.000
0.248 0.752 0.500
0.752 0.248 0.500
0.058 0.717 0.164
0.283 0.942 0.836
0.400 0.400 0.167
0.600 0.600 0.833
0.717 0.058 0.164
0.942 0.283 0.836
```

***

Entry 14:
VASP calculation (PBE-GGA) on an optimized crystal structure of V2CrCd2S6.

size of the total moment: 8.01 Bohr magnetons per cell
E_form (uncorrected): -0.637 eV/atom
crystal system: monoclinic

The structure in POSCAR format:
```
V2CrCd2S6
1.0
3.147 -5.305 0.000
3.147 5.305 0.000
-1.895 0.000 6.331
V Cr Cd S
2 1 2 6
direct
0.154 0.846 0.000
0.846 0.154 0.000
0.500 0.500 0.000
0.325 0.675 0.500
0.675 0.325 0.500
0.106 0.448 0.793
0.248 0.248 0.217
0.448 0.106 0.793
0.552 0.894 0.207
0.752 0.752 0.783
0.894 0.552 0.207
```

***

Entry 15:
VASP calculation (PBE-GGA) on an optimized crystal structure of Cr2CdSb2.

size of the total moment: 12.21 Bohr magnetons per cell
E_form (uncorrected): 0.271 eV/atom
crystal system: tetragonal

The structure in POSCAR format:
```
Cr2CdSb2
1.0
7.541 0.000 0.000
0.000 7.541 0.000
0.000 0.000 3.644
Cr Cd Sb
4 2 4
direct
0.138 0.362 0.000
0.362 0.862 0.000
0.638 0.138 0.000
0.862 0.638 0.000
0.000 0.000 0.000
0.500 0.500 0.000
0.160 0.660 0.500
0.340 0.160 0.500
0.660 0.840 0.500
0.840 0.340 0.500
```

***

Entry 16:
VASP calculation (PBE-GGA) on an optimized crystal structure of Cr2CdSb.

size of the total moment: 16.52 Bohr magnetons per cell
E_form (uncorrected): 0.721 eV/atom
crystal system: tetragonal
E above lowest polymorph: 463 meV per atom

The structure in POSCAR format:
```
Cr2CdSb
1.0
-2.200 2.200 9.313
2.200 -2.200 9.313
2.200 2.200 -9.313
Cr Cd Sb
4 2 2
direct
0.111 0.625 0.986
0.375 0.361 0.486
0.639 0.125 0.014
0.875 0.889 0.514
0.250 0.750 0.500
0.500 0.500 0.000
0.000 0.000 0.000
0.750 0.250 0.500
```

***

Entry 17:
VASP calculation (PBE-GGA) on an optimized crystal structure of CrCdSb2.

size of the total moment: 3.85 Bohr magnetons per cell
E_form (uncorrected): 0.298 eV/atom
crystal system: monoclinic

The structure in POSCAR format:
```
CrCdSb2
1.0
3.116 -3.841 0.000
3.116 3.841 0.000
-0.178 0.000 3.902
Cr Cd Sb
1 1 2
direct
0.000 0.000 0.000
0.500 0.500 0.000
0.000 0.500 0.500
0.500 0.000 0.500
```

***

Entry 18:
VASP calculation (PBE-GGA) on an optimized crystal structure of Cr2CdSb.

size of the total moment: 7.24 Bohr magnetons per cell
E_form (uncorrected): 0.526 eV/atom
crystal system: monoclinic
E above lowest polymorph: 267 meV per atom

The structure in POSCAR format:
```
Cr2CdSb
1.0
4.399 -1.691 0.000
4.399 1.691 0.000
-1.263 0.000 5.375
Cr Cd Sb
2 1 1
direct
0.245 0.245 0.242
0.755 0.755 0.758
0.000 0.000 0.500
0.500 0.500 0.000
```

***

Entry 19:
VASP calculation (PBE-GGA) on an optimized crystal structure of CrCd3Sb.

size of the total moment: 4.06 Bohr magnetons per cell
E_form (uncorrected): 0.715 eV/atom
crystal system: cubic
E above lowest polymorph: 0 meV per atom

The structure in POSCAR format:
```
CrCd3Sb
1.0
5.227 0.000 0.000
0.000 5.227 0.000
0.000 0.000 5.227
Cr Cd Sb
1 3 1
direct
0.000 0.000 0.000
0.000 0.000 0.500
0.000 0.500 0.000
0.500 0.000 0.000
0.500 0.500 0.500
```

***

Entry 20:
VASP calculation (PBE-GGA) on an optimized crystal structure of CrCdSb2.

size of the total moment: 4.00 Bohr magnetons per cell
E_form (uncorrected): 0.358 eV/atom
crystal system: tetragonal

The structure in POSCAR format:
```
CrCdSb2
1.0
-3.098 3.098 6.548
3.098 -3.098 6.548
3.098 3.098 -6.548
Cr Cd Sb
2 2 4
direct
0.000 0.000 0.000
0.750 0.250 0.500
0.250 0.750 0.500
0.500 0.500 0.000
0.081 0.625 0.956
0.375 0.331 0.456
0.669 0.125 0.044
0.875 0.919 0.544
```

***

Entry 21:
VASP calculation (PBE-GGA) on an optimized crystal structure of CrCdSb2.

size of the total moment: 3.59 Bohr magnetons per cell
E_form (uncorrected): 0.251 eV/atom
crystal system: orthorhombic

The structure in POSCAR format:
```
CrCdSb2
1.0
3.249 0.000 0.000
0.000 4.136 0.000
0.000 0.000 7.314
Cr Cd Sb
1 1 2
direct
0.000 0.000 0.000
0.500 0.500 0.780
0.000 0.000 0.577
0.500 0.500 0.178
```

***

Entry 22:
VASP calculation (PBE-GGA) on an optimized crystal structure of Cr2CdSb.

size of the total moment: 0.49 Bohr magnetons per cell
E_form (uncorrected): 0.258 eV/atom
crystal system: tetragonal
E above lowest polymorph: 0 meV per atom

The structure in POSCAR format:
```
Cr2CdSb
1.0
3.067 0.000 0.000
0.000 3.067 0.000
0.000 0.000 8.113
Cr Cd Sb
2 1 1
direct
0.000 0.000 0.000
0.500 0.500 0.142
0.500 0.500 0.762
0.000 0.000 0.371
```

***

Entry 23:
VASP calculation (PBE-GGA) on an optimized crystal structure of CrCdSb4.

size of the total moment: 4.73 Bohr magnetons per cell
E_form (uncorrected): 0.541 eV/atom
crystal system: cubic

The structure in POSCAR format:
```
CrCdSb4
1.0
0.000 4.401 4.401
4.401 0.000 4.401
4.401 4.401 0.000
Cr Cd Sb
1 1 4
direct
0.000 0.000 0.000
0.250 0.250 0.250
0.126 0.625 0.625
0.625 0.126 0.625
0.625 0.625 0.126
0.625 0.625 0.625
```

***

Entry 24:
VASP calculation (PBE-GGA) on an optimized crystal structure of CrCdSb2.

size of the total moment: 3.73 Bohr magnetons per cell
E_form (uncorrected): 0.334 eV/atom
crystal system: tetragonal

The structure in POSCAR format:
```
CrCdSb2
1.0
-2.118 2.118 5.185
2.118 -2.118 5.185
2.118 2.118 -5.185
Cr Cd Sb
1 1 2
direct
0.000 0.000 0.000
0.250 0.750 0.500
0.500 0.500 0.000
0.750 0.250 0.500
```

***

Entry 25:
VASP calculation (PBE-GGA) on an optimized crystal structure of CrCdSb2.

size of the total moment: 2.58 Bohr magnetons per cell
E_form (uncorrected): 0.235 eV/atom
crystal system: orthorhombic

The structure in POSCAR format:
```
CrCdSb2
1.0
-1.568 2.422 6.386
1.568 -2.422 6.386
1.568 2.422 -6.386
Cr Cd Sb
1 1 2
direct
0.000 0.000 0.000
0.500 0.500 0.000
0.175 0.675 0.500
0.825 0.325 0.500
```

***

Entry 26:
VASP calculation (PBE-GGA) on an optimized crystal structure of CrCdSb2.

size of the total moment: 3.22 Bohr magnetons per cell
E_form (uncorrected): 0.220 eV/atom
crystal system: orthorhombic

The structure in POSCAR format:
```
CrCdSb2
1.0
-1.598 2.140 7.118
1.598 -2.140 7.118
1.598 2.140 -7.118
Cr Cd Sb
1 1 2
direct
0.000 0.000 0.000
0.781 0.281 0.500
0.161 0.661 0.500
0.441 0.441 0.000
```